! GdMgSc PBE-GGA relaxed; values from VASP
! - Crystal system: cubic
! - Calculated total energy: -3.701 eV per atom
! - Spin magnetization: 0.2491 μB per atom
&SYSTEM
  ibrav = 0, nat = 3, ntyp = 3
/
ATOMIC_SPECIES
Gd 157.25 Gd.upf
Mg 24.30 Mg.upf
Sc 44.96 Sc.upf
CELL_PARAMETERS angstrom
0.000 3.577 3.577
3.577 0.000 3.577
3.577 3.577 0.000
ATOMIC_POSITIONS angstrom
Gd 0.000 0.000 0.000
Mg 1.788 1.788 1.788
Sc 3.577 3.577 3.577